1.
A relaxed structure of TiIrI3, computed with PBE.

```
TiIrI3
1.0
-3.386 -1.120 -4.124
4.027 -2.596 -2.601
-1.429 -4.661 2.440
Ti I Ir
1 3 1
direct
0.000 0.000 0.000
0.000 0.500 0.000
0.500 0.000 0.000
0.000 0.000 0.500
0.500 0.500 0.500
```

Results
Uncorrected formation energy (kJ/mol of formula units): 443
Space group: Pm-3m, No. 221
Energy above the lowest structure with this stoichiometry (meV per atom): 261
Electronic total energy (eV per atom): -3.3633
M_tot (μB/cell): 2.9

2.
A relaxed structure of YMg2C, computed with PBE.

```
YMg2C
1.0
-0.628 -6.579 0.092
5.896 -0.521 2.943
0.602 -3.299 5.632
Mg Y C
4 2 2
direct
0.375 0.588 0.750
0.875 0.662 0.750
0.338 0.625 0.250
0.412 0.125 0.250
0.750 0.250 0.500
0.000 0.000 0.000
0.250 0.750 0.500
0.500 0.500 0.000
```

Results
Space group: I-42d, No. 122
Formation energy (eV/atom): 0.740
Electronic total energy (eV per atom): -3.9789
M_tot (μB/cell): 1.8